The following is a DFT calculation (GGA-PBE) of a relaxed NdEr2HfP4 crystal.

Lattice parameters (Å, degrees): 6.814 3.938 6.839 90.00 109.22 90.00
Fractional coordinates of all 8 atoms:
Nd 0.000 0.000 0.000
Er 0.500 0.000 0.500
Er 0.500 0.500 0.000
Hf 0.000 0.500 0.500
P 0.242 0.000 0.734
P 0.251 0.500 0.265
P 0.749 0.500 0.735
P 0.758 0.000 0.266

Crystal system: monoclinic
Energy relative to the elements in eV/atom: -1.482
DOS at the Fermi energy in states/eV/cell: 1.42
Raw total energy in Ha/atom: -0.263